{"formula": "DyCdPtRh", "functional": "PBE-GGA", "state": "optimized geometry", "m_tot_mub_per_atom": 0.000, "ef_mev_per_atom": -706, "dos_ef_per_ev_cell": 9.72, "cell": [[6.701, 0.000, 0.000], [0.000, 6.701, 0.000], [0.000, 0.000, 6.701]], "species": ["Dy", "Dy", "Dy", "Dy", "Cd", "Cd", "Cd", "Cd", "Pt", "Pt", "Pt", "Pt", "Rh", "Rh", "Rh", "Rh"], "frac_coords": [[0.000, 0.000, 0.000], [0.000, 0.500, 0.500], [0.500, 0.000, 0.500], [0.500, 0.500, 0.000], [0.000, 0.000, 0.500], [0.000, 0.500, 0.000], [0.500, 0.000, 0.000], [0.500, 0.500, 0.500], [0.250, 0.250, 0.750], [0.250, 0.750, 0.250], [0.750, 0.250, 0.250], [0.750, 0.750, 0.750], [0.250, 0.250, 0.250], [0.250, 0.750, 0.750], [0.750, 0.250, 0.750], [0.750, 0.750, 0.250]]}



{"formula": "EuZnInAu", "functional": "PBE-GGA", "state": "optimized geometry", "m_tot_mub_per_atom": 1.756, "ef_mev_per_atom": -448, "dos_ef_per_ev_cell": 44.55, "cell": [[7.112, 0.000, 0.000], [0.000, 7.112, 0.000], [0.000, 0.000, 7.112]], "species": ["Eu", "Eu", "Eu", "Eu", "Zn", "Zn", "Zn", "Zn", "In", "In", "In", "In", "Au", "Au", "Au", "Au"], "frac_coords": [[0.000, 0.000, 0.000], [0.000, 0.500, 0.500], [0.500, 0.000, 0.500], [0.500, 0.500, 0.000], [0.250, 0.250, 0.250], [0.250, 0.750, 0.750], [0.750, 0.250, 0.750], [0.750, 0.750, 0.250], [0.000, 0.000, 0.500], [0.000, 0.500, 0.000], [0.500, 0.000, 0.000], [0.500, 0.500, 0.500], [0.250, 0.250, 0.750], [0.250, 0.750, 0.250], [0.750, 0.250, 0.250], [0.750, 0.750, 0.750]]}



{"formula": "K3Cr2InSe6", "functional": "PBE-GGA", "state": "optimized geometry", "m_tot_mub_per_atom": 0.499, "e_form_raw_kj_per_mol_fu": -954.3, "cell": [[3.421, -5.926, 0.000], [3.421, 5.926, 0.000], [-2.289, 0.000, 7.504]], "species": ["K", "K", "K", "Cr", "Cr", "In", "Se", "Se", "Se", "Se", "Se", "Se"], "frac_coords": [[0.000, 0.000, 0.000], [0.339, 0.661, 0.000], [0.661, 0.339, 0.000], [0.167, 0.833, 0.500], [0.833, 0.167, 0.500], [0.500, 0.500, 0.500], [0.084, 0.438, 0.315], [0.207, 0.207, 0.683], [0.438, 0.084, 0.315], [0.562, 0.916, 0.685], [0.793, 0.793, 0.317], [0.916, 0.562, 0.685]]}